# 1
Here is crystalline NbBiN3 at its relaxed geometry from Alexandria via LeMat-Bulk. Energies are from GGA-PBEsol.

abc: 4.1546 4.1546 4.1546
angles: 90.00 90.00 90.00
Last column: magnetic moment on the atom in μB.
Atoms (fractional coordinates):
Nb1 0.5000 0.5000 0.5000  1.41
Bi1 0.0000 0.0000 0.0000  0.02
N1 0.0000 0.5000 0.0000  -0.19
N2 0.0000 0.0000 0.5000  -0.19
N3 0.5000 0.0000 0.0000  -0.19

Values from the calculation:
SG   Pm-3m (221)
Spin magnetization   0.9 μB per cell
DOS at the Fermi energy   0.727 states/eV/atom
DFT total energy   -0.465 Ry per atom
Calculated density   8.0 g cm⁻³


# 2
Here is crystalline NiBi2N at its relaxed geometry from Alexandria via LeMat-Bulk. Energies are from GGA-PBEsol.

abc: 5.6506 5.6506 6.6913
angles: 114.98 114.98 90.00
Atoms (fractional coordinates):
Ni1 0.2500 0.7500 0.5000
Ni2 0.0000 0.0000 0.0000
Bi1 0.8499 0.3750 0.2500
Bi2 0.4001 0.8750 0.2500
Bi3 0.6250 0.5999 0.7500
Bi4 0.1250 0.1501 0.7500
N1 0.7500 0.2500 0.5000
N2 0.5000 0.5000 0.0000

Values from the calculation:
SG   I-42d (122)
Spin magnetization   0.0 μB per cell
DOS at the Fermi energy   0.464 states/eV/atom
DFT total energy   -0.389 Ry per atom
Calculated density   9.5 g cm⁻³


# 3
Here is crystalline NiBiN2 at its relaxed geometry from Alexandria via LeMat-Bulk. Energies are from GGA-PBEsol.

abc: 3.4600 3.4600 6.2120
angles: 73.83 73.83 60.00
Last column: magnetic moment on the atom in μB.
Atoms (fractional coordinates):
Ni1 0.0000 0.0000 0.0000  0.70
Bi1 0.5000 0.5000 0.5000  0.01
N1 0.9010 0.9010 0.2969  0.05
N2 0.0990 0.0990 0.7031  0.05

Values from the calculation:
SG   R-3m (166)
Spin magnetization   0.9 μB per cell
DOS at the Fermi energy   0.717 states/eV/atom
DFT total energy   -0.449 Ry per atom
Calculated density   8.1 g cm⁻³


# 4
Here is crystalline NiBiSeN2 at its relaxed geometry from Alexandria via LeMat-Bulk. Energies are from GGA-PBEsol.

abc: 3.9346 3.9346 4.7550
angles: 90.00 90.00 90.00
Last column: magnetic moment on the atom in μB.
Atoms (fractional coordinates):
Ni1 0.0000 0.0000 0.0000  0.45
Bi1 0.5000 0.5000 0.5000  -0.13
Se1 0.0000 0.0000 0.5000  0.09
N1 0.0000 0.5000 0.0000  0.73
N2 0.5000 0.0000 0.0000  0.73

Values from the calculation:
SG   P4/mmm (123)
Spin magnetization   2.4 μB per cell
DOS at the Fermi energy   0.489 states/eV/atom
DFT total energy   -0.386 Ry per atom
Calculated density   8.5 g cm⁻³